! CuPbBr4 SCAN PBEsol geometry; values from VASP
! Crystal system ... cubic
! ΔE_f (raw) ... 641.0 meV per atom
! V ... 161.7 Å³ per cell
&SYSTEM
  ibrav = 0, nat = 6, ntyp = 3
/
ATOMIC_SPECIES
Cu 63.55 Cu.upf
Pb 207.20 Pb.upf
Br 79.90 Br.upf
CELL_PARAMETERS angstrom
0.0000 4.3245 4.3245
4.3245 0.0000 4.3245
4.3245 4.3245 0.0000
ATOMIC_POSITIONS angstrom
Cu 0.0000 0.0000 0.0000
Pb 2.1622 2.1622 2.1622
Br 5.4167 3.2322 3.2322
Br 3.2322 5.4167 3.2322
Br 3.2322 3.2322 5.4167
Br 5.4167 5.4167 5.4167


! Si2TcAs SCAN PBEsol geometry; values from VASP
! Crystal system ... trigonal
! ΔE_f (raw) ... 98.3 meV per atom
! V ... 59.7 Å³ per cell
&SYSTEM
  ibrav = 0, nat = 4, ntyp = 3
/
ATOMIC_SPECIES
Si 28.09 Si.upf
Tc 98.00 Tc.upf
As 74.92 As.upf
CELL_PARAMETERS angstrom
1.5104 0.8720 7.5576
-1.5104 0.8720 7.5576
0.0000 -1.7441 7.5576
ATOMIC_POSITIONS angstrom
Si 0.0000 0.0000 5.5007
Si 0.0000 0.0000 17.1721
Tc 0.0000 0.0000 11.3364
As 0.0000 0.0000 0.0000


! Ni2GePdI SCAN PBEsol geometry; values from VASP
! Crystal system ... tetragonal
! ΔE_f (raw) ... 881.9 meV per atom
! V ... 101.7 Å³ per cell
&SYSTEM
  ibrav = 0, nat = 5, ntyp = 4
/
ATOMIC_SPECIES
Ni 58.69 Ni.upf
Ge 72.64 Ge.upf
Pd 106.42 Pd.upf
I 126.90 I.upf
CELL_PARAMETERS angstrom
4.2405 0.0000 0.0000
0.0000 4.2405 0.0000
0.0000 0.0000 5.6555
ATOMIC_POSITIONS angstrom
Ni 0.0000 2.1203 0.0000
Ni 2.1203 0.0000 0.0000
Ge 0.0000 0.0000 0.0000
Pd 2.1203 2.1203 2.8278
I 0.0000 0.0000 2.8278


! MoPSe2Br SCAN PBEsol geometry; values from VASP
! Crystal system ... tetragonal
! ΔE_f (raw) ... 817.3 meV per atom
! V ... 111.4 Å³ per cell
&SYSTEM
  ibrav = 0, nat = 5, ntyp = 4
/
ATOMIC_SPECIES
Mo 95.94 Mo.upf
P 30.97 P.upf
Se 78.96 Se.upf
Br 79.90 Br.upf
CELL_PARAMETERS angstrom
4.8546 0.0000 0.0000
0.0000 4.8546 0.0000
0.0000 0.0000 4.7255
ATOMIC_POSITIONS angstrom
Mo 0.0000 0.0000 0.0000
P 2.4273 2.4273 2.3627
Se 0.0000 2.4273 2.3627
Se 2.4273 0.0000 2.3627
Br 2.4273 2.4273 0.0000


! RbAgTeN2 SCAN PBEsol geometry; values from VASP
! Crystal system ... tetragonal
! ΔE_f (raw) ... 1317.1 meV per atom
! V ... 116.3 Å³ per cell
&SYSTEM
  ibrav = 0, nat = 5, ntyp = 4
/
ATOMIC_SPECIES
Rb 85.47 Rb.upf
Ag 107.87 Ag.upf
Te 127.60 Te.upf
N 14.01 N.upf
CELL_PARAMETERS angstrom
4.6080 0.0000 0.0000
0.0000 4.6080 0.0000
0.0000 0.0000 5.4759
ATOMIC_POSITIONS angstrom
Rb 0.0000 0.0000 0.0000
Ag 2.3040 2.3040 2.7379
Te 2.3040 2.3040 0.0000
N 0.0000 2.3040 2.7379
N 2.3040 0.0000 2.7379


! YH12Cl3O6 SCAN PBEsol geometry; values from VASP
! Crystal system ... monoclinic
! V ... 466.7 Å³ per cell
&SYSTEM
  ibrav = 0, nat = 44, ntyp = 4
/
ATOMIC_SPECIES
Y 88.91 Y.upf
H 1.01 H.upf
Cl 35.45 Cl.upf
O 16.00 O.upf
CELL_PARAMETERS angstrom
7.6892 0.0000 0.0000
0.0000 6.4466 0.0000
-7.0943 0.0000 9.4159
ATOMIC_POSITIONS angstrom
Y -1.7736 1.0211 2.3540
Y -5.3207 5.4256 7.0620
H -6.0204 2.8661 8.3398
H -2.4733 3.5805 3.6318
H 0.2704 3.0671 1.7439
H -3.2767 3.3796 6.4518
H 0.9292 0.6367 1.1794
H -2.6180 5.8099 5.8874
H -2.7457 0.5559 6.9193
H 0.8015 5.8907 2.2113
H -0.9609 2.1270 5.0333
H 2.5862 4.3196 0.3253
H 0.3501 1.5723 4.3620
H -3.1970 4.8744 9.0700
H 3.7919 1.5723 0.3460
H 0.2448 4.8744 5.0539
H -1.9913 2.1270 9.0906
H 1.5558 4.3196 4.3826
H -0.2066 0.5559 7.2047
H 3.3406 5.8907 2.4967
H 3.2129 0.6367 3.5286
H -0.3343 5.8099 8.2365
H 3.8716 3.0671 2.9641
H 0.3245 3.3796 7.6721
H 3.0682 2.8661 5.7841
H 6.6153 3.5805 1.0761
Cl -5.1127 1.1000 8.8633
Cl -1.5655 5.3467 4.1553
Cl -1.4761 2.3544 7.0620
Cl 2.0710 4.0922 2.3540
Cl 2.1604 1.1000 5.2606
Cl 5.7076 5.3467 0.5526
O -0.5944 2.7537 1.3709
O -4.1416 3.6929 6.0789
O 0.4449 0.3445 2.0044
O -3.1023 6.1021 6.7123
O -0.5721 1.8875 4.1512
O -4.1192 4.5591 8.8592
O 4.7142 1.8875 0.5568
O 1.1670 4.5591 5.2647
O 3.6972 0.3445 2.7036
O 0.1500 6.1021 7.4116
O 4.7365 2.7537 3.3370
O 1.1893 3.6929 8.0450


! LaNbRhC2 SCAN PBEsol geometry; values from VASP
! Crystal system ... tetragonal
! V ... 85.8 Å³ per cell
! Calculated formation energy ... 2.445 eV/atom
&SYSTEM
  ibrav = 0, nat = 5, ntyp = 4
/
ATOMIC_SPECIES
La 138.91 La.upf
Nb 92.91 Nb.upf
Rh 102.91 Rh.upf
C 12.01 C.upf
CELL_PARAMETERS angstrom
4.2301 0.0000 0.0000
0.0000 4.2301 0.0000
0.0000 0.0000 4.7945
ATOMIC_POSITIONS angstrom
La 0.0000 0.0000 0.0000
Nb 2.1150 2.1150 2.3972
Rh 0.0000 0.0000 2.3972
C 0.0000 2.1150 0.0000
C 2.1150 0.0000 0.0000


! FeH2Rh SCAN PBEsol geometry; values from VASP
! Crystal system ... tetragonal
! V ... 62.7 Å³ per cell
&SYSTEM
  ibrav = 0, nat = 8, ntyp = 3
/
ATOMIC_SPECIES
Fe 55.84 Fe.upf
H 1.01 H.upf
Rh 102.91 Rh.upf
CELL_PARAMETERS angstrom
-1.9916 1.9916 3.9507
1.9916 -1.9916 3.9507
1.9916 1.9916 -3.9507
ATOMIC_POSITIONS angstrom
Fe 0.0000 0.0000 0.0000
Fe 0.0000 1.9916 1.9754
H 2.9875 0.9468 -0.9877
H 0.9468 0.9958 0.9877
H -0.9958 1.0448 2.9630
H 1.0448 0.9958 4.9384
Rh 1.9916 0.0000 1.9754
Rh 0.0000 0.0000 3.9507


Values for final energy, eV/atom, ordered as above
-27.4954, -18.7222, -23.3081, -20.1627, -20.2709, -7.3146, -23.5959, -14.6872